The following is a DFT calculation (PBE) of an optimized crystal structure of Cd2InPd5.

It has space group I4/mmm (No. 139), with a = 4.2529 Å, b = 4.2529 Å, c = 14.9900 Å, α = 90.00°, β = 90.00° and γ = 90.00°. Symmetry generates all atoms from Cd at (0.0000, 0.0000, 0.2484), In at (0.0000, 0.0000, 0.5000), Pd at (0.0000, 0.0000, 0.0000) and Pd at (0.0000, 0.5000, 0.1235).

The total energy is -67.8 eV per cell. The calculation puts the energy relative to the elements at -0.420 eV per atom. Its density of states at the Fermi level is 5.03 states/eV per cell. Its volume is 16.946 Å³/atom.

=====

The following is a DFT calculation (PBE) of an optimized crystal structure of Cd2InPd.

It has space group R3m (No. 160, hexagonal axes), with a = 4.6460 Å, b = 4.6460 Å, c = 14.3222 Å, α = 90.00°, β = 90.00° and γ = 120.00°. Symmetry generates all atoms from Cd at (0.0000, 0.0000, 0.0000), Cd at (0.0000, 0.0000, 0.2154), In at (0.0000, 0.0000, 0.4330) and Pd at (0.0000, 0.0000, 0.6235).

The total energy is -31.1 eV per cell. The calculation puts the energy relative to the elements at -0.148 eV per atom. Its density of states at the Fermi level is 5.42 states/eV per cell. Its volume is 22.311 Å³/atom.

=====

The following is a DFT calculation (PBE) of an optimized crystal structure of Cd7In2Pd2.

It has space group C2/m (No. 12), with a = 12.5033 Å, b = 9.0350 Å, c = 4.4541 Å, α = 90.00°, β = 110.78° and γ = 90.00°. Symmetry generates all atoms from Cd at (0.0000, 0.0000, 0.0000), Cd at (0.1510, 0.2620, 0.1512), Cd at (0.1754, 0.0000, 0.6739), In at (0.1300, 0.5000, 0.6318) and Pd at (0.0000, 0.2244, 0.5000).

The total energy is -48.2 eV per cell. The calculation puts the energy relative to the elements at -0.165 eV per atom. Its density of states at the Fermi level is 4.69 states/eV per cell. Its volume is 21.384 Å³/atom.

=====

The following is a DFT calculation (PBE) of an optimized crystal structure of Cd2In3Pd8.

It has space group R-3m (No. 166, hexagonal axes), with a = 5.3453 Å, b = 5.3453 Å, c = 29.9488 Å, α = 90.00°, β = 90.00° and γ = 120.00°. Symmetry generates all atoms from Cd at (0.0000, 0.0000, 0.1340), In at (0.0000, 0.0000, 0.3126), In at (0.0000, 0.0000, 0.5000), Pd at (0.0000, 0.0000, 0.2235) and Pd at (0.0012, 0.5006, 0.2758).

The total energy is -161.3 eV per cell. The calculation puts the energy relative to the elements at -0.167 eV per atom. Its density of states at the Fermi level is 24.77 states/eV per cell. Its volume is 19.001 Å³/atom.

=====

The following is a DFT calculation (PBE) of an optimized crystal structure of Cd2InPd9.

It has space group P4/mmm (No. 123), with a = 4.0435 Å, b = 4.0435 Å, c = 12.0289 Å, α = 90.00°, β = 90.00° and γ = 90.00°. Symmetry generates all atoms from Cd at (0.0000, 0.0000, 0.1668), In at (0.0000, 0.0000, 0.5000), Pd at (0.0000, 0.5000, 0.0000), Pd at (0.0000, 0.5000, 0.3342), Pd at (0.5000, 0.5000, 0.1665) and Pd at (0.5000, 0.5000, 0.5000).

The total energy is -54.8 eV per cell. The calculation puts the energy relative to the elements at -0.295 eV per atom. Its density of states at the Fermi level is 17.96 states/eV per cell. Its volume is 16.389 Å³/atom.

=====

The following is a DFT calculation (PBE) of an optimized crystal structure of CdIn2Pd2.

It has space group I4/mmm (No. 139), with a = 4.1180 Å, b = 4.1180 Å, c = 12.6105 Å, α = 90.00°, β = 90.00° and γ = 90.00°. Symmetry generates all atoms from Cd at (0.0000, 0.0000, 0.0000), In at (0.0000, 0.5000, 0.2500) and Pd at (0.0000, 0.0000, 0.3951).

The total energy is -35.3 eV per cell. The calculation puts the energy relative to the elements at -0.172 eV per atom. Its density of states at the Fermi level is 3.99 states/eV per cell. Its volume is 21.384 Å³/atom.

=====

Q: Look up the energy relative to the elements of the fifth one.
A: -0.295 eV per atom